# PRuS2Br

A relaxed PRuS2Br crystal (PBE-GGA, Alexandria).

Computed properties:
V	20.697	Å³ per atom
final energy	-3.11	eV per atom
D(E_F)	1.231	states/eV per atom
spin magnetization	2.97	μB per cell
formation energy from raw total energies	1.81	eV/atom

Cell lengths 4.654, 4.654, 4.778 Å; angles 90.00, 90.00, 90.00 degrees
Fractional positions:
S (0.500, 0.000, 0.000)
S (0.000, 0.500, 0.000)
Ru (0.500, 0.500, 0.500)
Br (0.000, 0.000, 0.000)
P (0.000, 0.000, 0.500)

# P2RuSBr

A relaxed P2RuSBr crystal (PBE-GGA, Alexandria).

Computed properties:
V	20.014	Å³ per atom
final energy	-4.62	eV per atom
D(E_F)	1.031	states/eV per atom
spin magnetization	0.00	μB per cell
formation energy from raw total energies	0.56	eV/atom

Cell lengths 4.643, 4.643, 4.643 Å; angles 90.00, 90.00, 90.00 degrees
Fractional positions:
P (0.500, 0.000, 0.000)
P (0.000, 0.500, 0.000)
S (0.000, 0.000, 0.500)
Br (0.500, 0.500, 0.500)
Ru (0.000, 0.000, 0.000)

# PRuS2Br

A relaxed PRuS2Br crystal (PBE-GGA, Alexandria).

Computed properties:
V	20.443	Å³ per atom
final energy	-4.40	eV per atom
D(E_F)	1.203	states/eV per atom
spin magnetization	0.00	μB per cell
formation energy from raw total energies	0.52	eV/atom

Cell lengths 4.497, 4.497, 5.054 Å; angles 90.00, 90.00, 90.00 degrees
Fractional positions:
S (0.500, 0.000, 0.000)
S (0.000, 0.500, 0.000)
P (0.000, 0.000, 0.500)
Br (0.500, 0.500, 0.500)
Ru (0.000, 0.000, 0.000)

# P2RuSBr

A relaxed P2RuSBr crystal (PBE-GGA, Alexandria).

Computed properties:
V	21.149	Å³ per atom
final energy	-3.30	eV per atom
D(E_F)	1.037	states/eV per atom
spin magnetization	2.01	μB per cell
formation energy from raw total energies	1.88	eV/atom

Cell lengths 4.781, 4.781, 4.626 Å; angles 90.00, 90.00, 90.00 degrees
Fractional positions:
Ru (0.500, 0.500, 0.500)
P (0.000, 0.500, 0.000)
P (0.500, 0.000, 0.000)
S (0.000, 0.000, 0.500)
Br (0.000, 0.000, 0.000)

# PRuSe2Br

A relaxed PRuSe2Br crystal (PBE-GGA, Alexandria).

Computed properties:
V	23.320	Å³ per atom
final energy	-3.64	eV per atom
D(E_F)	1.382	states/eV per atom
spin magnetization	3.72	μB per cell
formation energy from raw total energies	1.03	eV/atom

Cell lengths 4.876, 4.876, 4.904 Å; angles 90.00, 90.00, 90.00 degrees
Fractional positions:
Br (0.000, 0.000, 0.500)
P (0.000, 0.000, 0.000)
Se (0.000, 0.500, 0.000)
Se (0.500, 0.000, 0.000)
Ru (0.500, 0.500, 0.500)

# PRuSe2Br

A relaxed PRuSe2Br crystal (PBE-GGA, Alexandria).

Computed properties:
V	23.139	Å³ per atom
final energy	-3.91	eV per atom
D(E_F)	0.994	states/eV per atom
spin magnetization	0.00	μB per cell
formation energy from raw total energies	0.75	eV/atom

Cell lengths 4.803, 4.803, 5.015 Å; angles 90.00, 90.00, 90.00 degrees
Fractional positions:
Ru (0.000, 0.000, 0.000)
Se (0.000, 0.500, 0.000)
Se (0.500, 0.000, 0.000)
P (0.500, 0.500, 0.500)
Br (0.000, 0.000, 0.500)

# Sm8PRu3Br4

A relaxed Sm8PRu3Br4 crystal (PBE-GGA, Alexandria).

Computed properties:
V	27.929	Å³ per atom
final energy	-5.79	eV per atom
D(E_F)	0.555	states/eV per atom
spin magnetization	0.00	μB per cell
formation energy from raw total energies	-0.94	eV/atom

Cell lengths 8.217, 8.995, 8.218 Å; angles 117.19, 120.00, 90.00 degrees
Fractional positions:
Br (0.000, 0.000, 0.500)
Br (0.500, 0.000, 0.000)
Br (0.000, 0.000, 0.000)
Br (0.500, 0.000, 0.500)
Sm (0.735, 0.704, 0.469)
Sm (0.236, 0.692, 0.956)
Sm (0.236, 0.692, 0.472)
Sm (0.280, 0.308, 0.044)
Sm (0.265, 0.296, 0.531)
Sm (0.720, 0.692, 0.956)
Sm (0.764, 0.308, 0.044)
Sm (0.764, 0.308, 0.528)
Ru (0.000, 0.500, 0.500)
Ru (0.500, 0.500, 0.500)
Ru (0.500, 0.500, 0.000)
P (0.000, 0.500, 0.000)

# Sm4PRuBr2

A relaxed Sm4PRuBr2 crystal (PBE-GGA, Alexandria).

Computed properties:
V	27.742	Å³ per atom
final energy	-5.72	eV per atom
D(E_F)	0.661	states/eV per atom
spin magnetization	0.00	μB per cell
formation energy from raw total energies	-1.11	eV/atom

Cell lengths 4.033, 7.386, 7.742 Å; angles 105.79, 90.00, 90.00 degrees
Fractional positions:
Sm (0.000, 0.275, 0.802)
Sm (0.500, 0.244, 0.191)
Sm (0.500, 0.756, 0.809)
Sm (0.000, 0.725, 0.198)
P (0.000, 0.000, 0.000)
Br (0.000, 0.500, 0.500)
Br (0.500, 0.000, 0.500)
Ru (0.500, 0.500, 0.000)

# TaPRu2Br

A relaxed TaPRu2Br crystal (PBE-GGA, Alexandria).

Computed properties:
V	18.411	Å³ per atom
final energy	-6.76	eV per atom
D(E_F)	1.303	states/eV per atom
spin magnetization	0.66	μB per cell
formation energy from raw total energies	0.74	eV/atom

Cell lengths 4.409, 4.736, 4.409 Å; angles 90.00, 90.00, 90.00 degrees
Fractional positions:
Ru (0.000, 0.000, 0.500)
Ru (0.500, 0.000, 0.000)
P (0.000, 0.000, 0.000)
Ta (0.000, 0.500, 0.000)
Br (0.500, 0.500, 0.500)

# PSBr2

A relaxed PSBr2 crystal (PBE-GGA, Alexandria).

Computed properties:
V	22.890	Å³ per atom
final energy	-2.38	eV per atom
D(E_F)	0.988	states/eV per atom
spin magnetization	0.00	μB per cell
formation energy from raw total energies	0.84	eV/atom

Cell lengths 9.614, 9.614, 9.614 Å; angles 20.07, 20.07, 20.07 degrees
Fractional positions:
Br (0.917, 0.917, 0.917)
Br (0.083, 0.083, 0.083)
P (0.000, 0.000, 0.000)
S (0.500, 0.500, 0.500)

# PSBr2

A relaxed PSBr2 crystal (PBE-GGA, Alexandria).

Computed properties:
V	27.981	Å³ per atom
final energy	-2.91	eV per atom
D(E_F)	1.459	states/eV per atom
spin magnetization	0.00	μB per cell
formation energy from raw total energies	0.31	eV/atom

Cell lengths 10.044, 10.044, 7.441 Å; angles 47.55, 47.55, 90.00 degrees
Fractional positions:
Br (0.451, 0.125, 0.250)
Br (0.875, 0.701, 0.750)
Br (0.375, 0.549, 0.750)
Br (0.299, 0.625, 0.250)
S (0.750, 0.250, 0.500)
S (0.000, 0.000, 0.000)
P (0.500, 0.500, 0.000)
P (0.250, 0.750, 0.500)

# PSBr

A relaxed PSBr crystal (PBE-GGA, Alexandria).

Computed properties:
V	34.978	Å³ per atom
final energy	-3.95	eV per atom
D(E_F)	0.000	states/eV per atom
spin magnetization	0.00	μB per cell
formation energy from raw total energies	-0.21	eV/atom

Cell lengths 6.802, 6.242, 12.655 Å; angles 33.49, 47.46, 47.41 degrees
Fractional positions:
Br (0.376, 0.954, 0.369)
Br (0.044, 0.956, 0.911)
P (0.008, 0.259, 0.637)
P (0.412, 0.651, 0.643)
S (0.720, 0.855, 0.526)
S (0.699, 0.055, 0.755)

# PS2Br

A relaxed PS2Br crystal (PBE-GGA, Alexandria).

Computed properties:
V	30.692	Å³ per atom
final energy	-3.94	eV per atom
spin magnetization	0.00	μB per cell
formation energy from raw total energies	-0.10	eV/atom

Cell lengths 9.448, 5.457, 9.524 Å; angles 89.99, 90.00, 90.00 degrees
Fractional positions:
S (0.877, 0.503, 0.383)
S (0.623, 0.003, 0.883)
S (0.123, 0.497, 0.617)
S (0.377, 0.997, 0.117)
S (0.881, 0.003, 0.622)
S (0.619, 0.503, 0.122)
S (0.381, 0.497, 0.878)
S (0.119, 0.997, 0.378)
P (0.000, 0.750, 0.499)
P (0.000, 0.250, 0.501)
P (0.500, 0.250, 0.999)
P (0.500, 0.750, 0.001)
Br (0.745, 0.961, 0.255)
Br (0.255, 0.039, 0.745)
Br (0.755, 0.461, 0.755)
Br (0.245, 0.539, 0.245)

# PS2Br

A relaxed PS2Br crystal (PBE-GGA, Alexandria).

Computed properties:
V	17.686	Å³ per atom
final energy	-2.80	eV per atom
D(E_F)	0.836	states/eV per atom
spin magnetization	0.00	μB per cell
formation energy from raw total energies	1.03	eV/atom

Cell lengths 4.642, 4.642, 4.642 Å; angles 60.00, 60.00, 60.00 degrees
Fractional positions:
S (0.250, 0.250, 0.250)
S (0.750, 0.750, 0.750)
Br (0.500, 0.500, 0.500)
P (0.000, 0.000, 0.000)

# P2SBr

A relaxed P2SBr crystal (PBE-GGA, Alexandria).

Computed properties:
V	21.936	Å³ per atom
final energy	-3.64	eV per atom
D(E_F)	0.467	states/eV per atom
spin magnetization	0.00	μB per cell
formation energy from raw total energies	0.51	eV/atom

Cell lengths 4.717, 4.717, 8.563 Å; angles 74.01, 74.01, 90.00 degrees
Fractional positions:
Br (0.000, 0.000, 0.000)
Br (0.750, 0.250, 0.500)
P (0.290, 0.625, 0.250)
P (0.875, 0.710, 0.750)
P (0.375, 0.540, 0.750)
P (0.460, 0.125, 0.250)
S (0.500, 0.500, 0.000)
S (0.250, 0.750, 0.500)

# PSBr2

A relaxed PSBr2 crystal (PBE-GGA, Alexandria).

Computed properties:
V	20.351	Å³ per atom
final energy	-2.18	eV per atom
D(E_F)	1.362	states/eV per atom
spin magnetization	0.00	μB per cell
formation energy from raw total energies	1.04	eV/atom

Cell lengths 4.865, 4.865, 4.865 Å; angles 60.00, 60.00, 60.00 degrees
Fractional positions:
Br (0.250, 0.250, 0.250)
Br (0.750, 0.750, 0.750)
S (0.500, 0.500, 0.500)
P (0.000, 0.000, 0.000)

# P3SBr

A relaxed P3SBr crystal (PBE-GGA, Alexandria).

Computed properties:
V	22.671	Å³ per atom
final energy	-2.55	eV per atom
D(E_F)	0.984	states/eV per atom
spin magnetization	0.00	μB per cell
formation energy from raw total energies	1.85	eV/atom

Cell lengths 4.840, 4.840, 4.840 Å; angles 90.00, 90.00, 90.00 degrees
Fractional positions:
P (0.000, 0.500, 0.000)
P (0.500, 0.000, 0.000)
P (0.000, 0.000, 0.500)
Br (0.000, 0.000, 0.000)
S (0.500, 0.500, 0.500)

# PSBr2

A relaxed PSBr2 crystal (PBE-GGA, Alexandria).

Computed properties:
V	25.669	Å³ per atom
final energy	-2.48	eV per atom
D(E_F)	0.784	states/eV per atom
spin magnetization	0.00	μB per cell
formation energy from raw total energies	0.75	eV/atom

Cell lengths 8.754, 8.754, 8.754 Å; angles 24.66, 24.66, 24.66 degrees
Fractional positions:
Br (0.096, 0.096, 0.096)
Br (0.904, 0.904, 0.904)
P (0.500, 0.500, 0.500)
S (0.000, 0.000, 0.000)

# PSBr2

A relaxed PSBr2 crystal (PBE-GGA, Alexandria).

Computed properties:
V	38.191	Å³ per atom
final energy	-3.30	eV per atom
D(E_F)	0.441	states/eV per atom
spin magnetization	0.00	μB per cell
formation energy from raw total energies	-0.08	eV/atom

Cell lengths 5.478, 7.080, 15.756 Å; angles 90.02, 90.00, 90.00 degrees
Fractional positions:
Br (0.217, 0.011, 0.380)
Br (0.717, 0.989, 0.880)
Br (0.783, 0.489, 0.380)
Br (0.783, 0.989, 0.620)
Br (0.217, 0.511, 0.620)
Br (0.283, 0.011, 0.120)
Br (0.717, 0.489, 0.120)
Br (0.283, 0.511, 0.880)
P (0.000, 0.250, 0.674)
P (0.000, 0.750, 0.326)
P (0.500, 0.750, 0.174)
P (0.500, 0.250, 0.826)
S (0.250, 0.592, 0.250)
S (0.250, 0.092, 0.750)
S (0.750, 0.408, 0.750)
S (0.750, 0.908, 0.250)

# PS2Br

A relaxed PS2Br crystal (PBE-GGA, Alexandria).

Computed properties:
V	36.951	Å³ per atom
final energy	-3.94	eV per atom
spin magnetization	0.00	μB per cell
formation energy from raw total energies	-0.11	eV/atom

Cell lengths 9.965, 9.965, 18.928 Å; angles 118.56, 118.56, 102.58 degrees
Fractional positions:
S (0.118, 0.287, 0.134)
S (0.629, 0.471, 0.909)
S (0.044, 0.520, 0.286)
S (0.371, 0.529, 0.091)
S (0.411, 0.589, 0.750)
S (0.471, 0.629, 0.409)
S (0.287, 0.118, 0.634)
S (0.738, 0.262, 0.750)
S (0.529, 0.371, 0.591)
S (0.262, 0.738, 0.250)
S (0.480, 0.956, 0.214)
S (0.956, 0.480, 0.714)
S (0.882, 0.713, 0.866)
S (0.713, 0.882, 0.366)
S (0.589, 0.411, 0.250)
S (0.520, 0.044, 0.786)
P (0.353, 0.305, 0.094)
P (0.232, 0.541, 0.268)
P (0.541, 0.232, 0.768)
P (0.305, 0.353, 0.594)
P (0.768, 0.459, 0.732)
P (0.459, 0.768, 0.232)
P (0.647, 0.695, 0.906)
P (0.695, 0.647, 0.406)
Br (0.806, 0.185, 0.950)
Br (0.479, 0.230, 0.018)
Br (0.194, 0.815, 0.050)
Br (0.770, 0.521, 0.482)
Br (0.185, 0.806, 0.450)
Br (0.521, 0.770, 0.982)
Br (0.230, 0.479, 0.518)
Br (0.815, 0.194, 0.550)

# PS2Br

A relaxed PS2Br crystal (PBE-GGA, Alexandria).

Computed properties:
V	22.293	Å³ per atom
final energy	-3.59	eV per atom
D(E_F)	0.344	states/eV per atom
spin magnetization	0.00	μB per cell
formation energy from raw total energies	0.24	eV/atom

Cell lengths 7.860, 7.860, 7.860 Å; angles 27.15, 27.15, 27.15 degrees
Fractional positions:
P (0.500, 0.500, 0.500)
S (0.891, 0.891, 0.891)
S (0.109, 0.109, 0.109)
Br (0.000, 0.000, 0.000)

# PS5Br

A relaxed PS5Br crystal (PBE-GGA, Alexandria).

Computed properties:
V	36.631	Å³ per atom
final energy	-3.99	eV per atom
D(E_F)	0.000	states/eV per atom
spin magnetization	0.00	μB per cell
formation energy from raw total energies	-0.03	eV/atom

Cell lengths 12.804, 4.413, 9.849 Å; angles 83.41, 147.97, 110.66 degrees
Fractional positions:
P (0.666, 0.941, 0.358)
S (0.835, 0.974, 0.382)
S (0.350, 0.296, 0.659)
S (0.128, 0.811, 0.360)
S (0.329, 0.651, 0.488)
S (0.384, 0.925, 0.076)
Br (0.840, 0.931, 0.739)

# PS2Br

A relaxed PS2Br crystal (PBE-GGA, Alexandria).

Computed properties:
V	22.641	Å³ per atom
final energy	-3.52	eV per atom
D(E_F)	0.228	states/eV per atom
spin magnetization	0.00	μB per cell
formation energy from raw total energies	0.31	eV/atom

Cell lengths 6.781, 6.781, 6.206 Å; angles 56.88, 56.88, 90.00 degrees
Fractional positions:
P (0.500, 0.500, 0.000)
P (0.250, 0.750, 0.500)
Br (0.750, 0.250, 0.500)
Br (0.000, 0.000, 0.000)
S (0.529, 0.125, 0.250)
S (0.375, 0.471, 0.750)
S (0.875, 0.779, 0.750)
S (0.221, 0.625, 0.250)

# P2SBr

A relaxed P2SBr crystal (PBE-GGA, Alexandria).

Computed properties:
V	17.612	Å³ per atom
final energy	-3.14	eV per atom
D(E_F)	0.764	states/eV per atom
spin magnetization	0.00	μB per cell
formation energy from raw total energies	1.01	eV/atom

Cell lengths 4.636, 4.636, 4.636 Å; angles 60.00, 60.00, 60.00 degrees
Fractional positions:
S (0.000, 0.000, 0.000)
P (0.250, 0.250, 0.250)
P (0.750, 0.750, 0.750)
Br (0.500, 0.500, 0.500)

# P3SBr

A relaxed P3SBr crystal (PBE-GGA, Alexandria).

Computed properties:
V	20.065	Å³ per atom
final energy	-3.29	eV per atom
D(E_F)	0.515	states/eV per atom
spin magnetization	0.00	μB per cell
formation energy from raw total energies	1.12	eV/atom

Cell lengths 4.647, 4.647, 4.647 Å; angles 90.00, 90.00, 90.00 degrees
Fractional positions:
P (0.000, 0.500, 0.000)
P (0.500, 0.000, 0.000)
P (0.000, 0.000, 0.500)
S (0.000, 0.000, 0.000)
Br (0.500, 0.500, 0.500)